Record 1
Compound: RbSe2O
Source: Alexandria
Functional: PBE-GGA
Structure: relaxed

Cell: 9.5129 9.5129 9.5129 Å, 20.52 20.52 20.52°
Closest atoms and distances in Å follow each position.
Sites, in units of the cell vectors:
1 Se 0.8871 0.8871 0.8871  3 O 2.47
2 Rb 0.0000 0.0000 0.0000  2 Se 3.15, 6 Rb 3.39
3 O 0.5000 0.5000 0.5000  6 Se 2.47
4 Se 0.1129 0.1129 0.1129  3 O 2.47

D(E_F) = 0.59 states/eV/atom
raw formation energy = 626 meV/atom
space group = R-3m, No. 166

Record 2
Compound: RbSeO
Source: Alexandria
Functional: PBE-GGA
Structure: relaxed

Cell: 4.0047 6.5604 6.5604 Å, 78.74 72.23 72.23°
Closest atoms and distances in Å follow each position.
Sites, in units of the cell vectors:
1 O 0.5000 0.7944 0.2056  2 Se 2.01
2 Rb 0.7573 0.7427 0.7427  2 O 2.95
3 Rb 0.2427 0.2573 0.2573  2 O 2.95
4 O 0.5000 0.2056 0.7944  2 Se 2.01
5 Se 0.0000 0.1808 0.8192  2 O 2.01
6 Se 0.0000 0.8192 0.1808  2 O 2.01

D(E_F) = 0.33 states/eV/atom
distance to the lowest polymorph of the same formula = 420 meV per atom
raw formation energy = -736 meV/atom
space group = Immm, No. 71

Record 3
Compound: Rb3Se2O8
Source: Alexandria
Functional: PBE-GGA
Structure: relaxed

Cell: 8.4758 8.4758 10.6237 Å, 77.10 77.10 43.71°
Closest atoms and distances in Å follow each position.
Sites, in units of the cell vectors:
1 O 0.0516 0.1888 0.1117  1 Se 1.67
2 O 0.8112 0.9484 0.3883  1 Se 1.67
3 O 0.6553 0.6593 0.5903  1 Se 1.66
4 Rb 0.0259 0.5995 0.6521  8 O 3.00-3.34
5 O 0.8881 0.4180 0.8726  1 Se 1.67
6 Se 0.8199 0.4054 0.0318  4 O 1.66-1.72
7 O 0.6593 0.6553 0.0903  1 Se 1.66
8 O 0.3447 0.3407 0.4097  1 Se 1.66
9 O 0.3407 0.3447 0.9097  1 Se 1.66
10 O 0.6639 0.3391 0.0591  1 Se 1.72
11 Rb 0.7376 0.2624 0.7500  8 O 2.96-3.23
12 O 0.9484 0.8112 0.8883  1 Se 1.67
13 O 0.1119 0.5820 0.1274  1 Se 1.67
14 Rb 0.2624 0.7376 0.2500  8 O 2.96-3.23
15 Se 0.1801 0.5946 0.9682  4 O 1.66-1.72
16 O 0.1888 0.0516 0.6117  1 Se 1.67
17 O 0.4180 0.8881 0.3726  1 Se 1.67
18 Rb 0.9741 0.4005 0.3479  8 O 3.00-3.34
19 O 0.5820 0.1119 0.6274  1 Se 1.67
20 Se 0.5946 0.1801 0.4682  4 O 1.66-1.72
21 O 0.3361 0.6609 0.9409  1 Se 1.72
22 O 0.3391 0.6639 0.5591  1 Se 1.72
23 Se 0.4054 0.8199 0.5318  4 O 1.66-1.72
24 O 0.6609 0.3361 0.4409  1 Se 1.72
25 Rb 0.4005 0.9741 0.8479  8 O 3.00-3.34
26 Rb 0.5995 0.0259 0.1521  8 O 3.00-3.34

distance to the lowest polymorph of the same formula = 0 meV per atom
raw formation energy = -1170 meV/atom
space group = C2/c, No. 15

Record 4
Compound: Rb2SeO4
Source: Alexandria
Functional: PBE-GGA
Structure: relaxed

Cell: 6.3188 8.1593 11.0239 Å, 90.00 90.00 90.00°
Closest atoms and distances in Å follow each position.
Sites, in units of the cell vectors:
1 O 0.5326 0.7886 0.1566  1 Se 1.68
2 Rb 0.2500 0.8268 0.9188  3 O 2.84-3.17
3 O 0.7500 0.3114 0.5572  1 Se 1.68
4 O 0.2500 0.6886 0.4428  1 Se 1.68
5 Se 0.7500 0.7263 0.0820  4 O 1.67-1.68
6 O 0.0326 0.2114 0.8434  1 Se 1.68
7 O 0.5326 0.2886 0.3434  1 Se 1.68
8 O 0.7500 0.5217 0.0721  1 Se 1.67
9 Rb 0.7500 0.4998 0.7949  7 O 2.91-3.06
10 O 0.2500 0.4783 0.9279  1 Se 1.67
11 Se 0.7500 0.2263 0.4180  4 O 1.67-1.68
12 Se 0.2500 0.7737 0.5820  4 O 1.67-1.68
13 O 0.0326 0.7114 0.6566  1 Se 1.68
14 Se 0.2500 0.2737 0.9180  4 O 1.67-1.68
15 O 0.2500 0.9783 0.5721  1 Se 1.67
16 Rb 0.2500 0.0002 0.2949  7 O 2.91-3.06
17 O 0.2500 0.1886 0.0572  1 Se 1.68
18 Rb 0.2500 0.3268 0.5812  3 O 2.84-3.17
19 Rb 0.7500 0.1732 0.0812  3 O 2.84-3.17
20 O 0.4674 0.7114 0.6566  1 Se 1.68
21 O 0.7500 0.0217 0.4279  1 Se 1.67
22 Rb 0.7500 0.6732 0.4188  3 O 2.84-3.17
23 Rb 0.7500 0.9998 0.7051  7 O 2.91-3.06
24 O 0.7500 0.8114 0.9428  1 Se 1.68
25 O 0.4674 0.2114 0.8434  1 Se 1.68
26 O 0.9674 0.7886 0.1566  1 Se 1.68
27 Rb 0.2500 0.5002 0.2051  7 O 2.91-3.06
28 O 0.9674 0.2886 0.3434  1 Se 1.68

D(E_F) = 0.00 states/eV/atom
raw formation energy = -1404 meV/atom
space group = Pnma, No. 62

Record 5
Compound: RbSeO
Source: Alexandria
Functional: PBE-GGA
Structure: relaxed

Cell: 5.0245 5.3971 7.3962 Å, 68.65 76.92 89.38°
Closest atoms and distances in Å follow each position.
Sites, in units of the cell vectors:
1 Rb 0.6729 0.2046 0.7930  2 O 2.85-2.86
2 O 0.9087 0.4321 0.3743  1 Se 1.72
3 O 0.6878 0.1741 0.1852  1 Se 1.71
4 Rb 0.1488 0.9288 0.3490  4 O 2.82-3.01
5 Se 0.7635 0.4884 0.1753  2 O 1.71-1.72
6 Se 0.1394 0.6721 0.8780  1 Se 2.44

D(E_F) = 0.00 states/eV/atom
distance to the lowest polymorph of the same formula = 0 meV per atom
raw formation energy = -1156 meV/atom
space group = P1, No. 1

Record 6
Compound: Rb2SeO4
Source: Alexandria
Functional: PBE-GGA
Structure: relaxed

Cell: 6.5784 6.5784 6.5048 Å, 120.31 120.46 89.98°
Closest atoms and distances in Å follow each position.
Sites, in units of the cell vectors:
1 O 0.7474 0.7457 0.7900  1 Se 1.68
2 Se 0.9998 0.0002 0.0000  4 O 1.68
3 Rb 0.2502 0.7494 0.4999  4 O 2.83-2.84
4 O 0.0443 0.0426 0.7900  1 Se 1.68
5 Rb 0.7505 0.2497 0.4999  4 O 2.83-2.84
6 O 0.9537 0.2529 0.2066  1 Se 1.68
7 O 0.2542 0.9595 0.2136  1 Se 1.68

D(E_F) = 0.00 states/eV/atom
raw formation energy = -1368 meV/atom
space group = Cm, No. 8

Record 7
Compound: Rb3Se2O8
Source: Alexandria
Functional: PBE-GGA
Structure: relaxed

Cell: 6.2011 6.2011 8.3803 Å, 68.24 68.24 59.99°
Closest atoms and distances in Å follow each position.
Sites, in units of the cell vectors:
1 O 0.7064 0.2813 0.2953  1 Se 1.68
2 Se 0.5820 0.6009 0.2251  4 O 1.68
3 O 0.2625 0.7254 0.2954  1 Se 1.68
4 O 0.2746 0.7375 0.7046  1 Se 1.68
5 O 0.2751 0.2936 0.7041  1 Se 1.68
6 O 0.6564 0.6754 0.0031  1 Se 1.68
7 Rb 0.9903 0.0097 0.0000  6 O 2.99-3.00
8 O 0.7187 0.2936 0.7047  1 Se 1.68
9 O 0.7064 0.7249 0.2959  1 Se 1.68
10 Rb 0.1951 0.2142 0.3857  10 O 2.94-3.18
11 Se 0.3991 0.4180 0.7749  4 O 1.68
12 O 0.3246 0.3436 0.9969  1 Se 1.68
13 Rb 0.7858 0.8049 0.6143  10 O 2.94-3.18

D(E_F) = 1.23 states/eV/atom
distance to the lowest polymorph of the same formula = 8 meV per atom
raw formation energy = -1161 meV/atom
space group = C2/m, No. 12

Record 8
Compound: Rb3SeO3
Source: Alexandria
Functional: PBE-GGA
Structure: relaxed

Cell: 5.7952 8.5583 8.5577 Å, 119.91 90.00 90.00°
Closest atoms and distances in Å follow each position.
Sites, in units of the cell vectors:
1 O 0.7500 0.2038 0.7969  1 Se 1.92
2 Se 0.7500 0.3331 0.6669  3 O 1.92
3 Rb 0.7500 0.3598 0.1803  4 O 2.86-2.92
4 O 0.7500 0.2035 0.4079  1 Se 1.92
5 O 0.7500 0.5922 0.7958  1 Se 1.92
6 O 0.2500 0.4078 0.2042  1 Se 1.92
7 O 0.2500 0.7962 0.2031  1 Se 1.92
8 Rb 0.2500 0.1798 0.8209  4 O 2.86-2.92
9 O 0.2500 0.7965 0.5921  1 Se 1.92
10 Se 0.2500 0.6669 0.3331  3 O 1.92
11 Rb 0.2500 0.1796 0.3598  4 O 2.86-2.92
12 Rb 0.7500 0.8204 0.6402  4 O 2.86-2.92
13 Rb 0.7500 0.8202 0.1791  4 O 2.86-2.92
14 Rb 0.2500 0.6402 0.8197  4 O 2.86-2.92

raw formation energy = -1065 meV/atom
space group = Cmcm, No. 63